Density functional theory data (GGA+U) for an optimized crystal structure of BaY2NiO5.

Cell lengths 3.803, 5.819, 11.457 Å; angles 90.00, 90.00, 90.00 degrees
Space group Immm (No. 71)
Inequivalent atoms, fractional coordinates:
Ba: 0.000 0.000 0.000 [2 per cell]
Y: 0.000 0.500 0.203 [4 per cell]
Ni: 0.000 0.000 0.500 [2 per cell]
O: 0.000 0.240 0.351 [8 per cell]
O: 0.000 0.500 0.000 [2 per cell]

## Properties
The value obtained for the density of states at the Fermi level is 0.00 states/eV per atom. The value obtained for the total DFT energy (no corrections) is -134.2 eV for the cell shown.